No. 1
Pd3RuPt6: relaxed, PBE.

The structure in POSCAR format:
```
Pd3RuPt6
1.0
2.7863 0.0000 0.0000
-1.3931 2.4130 0.0000
0.0000 0.0000 22.8809
Pt Pd Ru
6 3 1
Direct
0.6667 0.3333 0.8999 Pt
0.3333 0.6667 0.7976 Pt
0.6667 0.3333 0.2024 Pt
0.6667 0.3333 0.5955 Pt
0.3333 0.6667 0.1001 Pt
0.3333 0.6667 0.4045 Pt
0.0000 0.0000 0.6972 Pd
0.0000 0.0000 0.0000 Pd
0.0000 0.0000 0.3028 Pd
0.0000 0.0000 0.5000 Ru
```

Calculated values
- total magnetization (μB per cell) = 0.00
- formation enthalpy at 0 K (eV/atom) = -0.01


No. 2
Pd2RuPt2: relaxed, PBE.

The structure in POSCAR format:
```
Pd2RuPt2
1.0
3.5822 0.0000 0.0000
0.0000 3.5822 0.0000
1.7911 1.7911 6.5960
Ru Pt Pd
1 2 2
Direct
0.0000 0.0000 0.0000 Ru
0.4043 0.4043 0.1915 Pt
0.5957 0.5957 0.8085 Pt
0.2500 0.7500 0.5000 Pd
0.7500 0.2500 0.5000 Pd
```

Calculated values
- total magnetization (μB per cell) = 1.84
- formation enthalpy at 0 K (eV/atom) = 0.53


No. 3
Pd2RuPtS: relaxed, PBE.

The structure in POSCAR format:
```
Pd2RuPtS
1.0
-3.1594 3.7782 -0.0572
-2.3070 -1.8745 3.6084
2.8932 2.4668 3.1311
S Pd Ru Pt
1 2 1 1
Direct
0.5000 0.5000 0.5000 S
0.0000 0.0000 0.5000 Pd
0.5000 0.0000 0.0000 Pd
0.0000 0.5000 0.0000 Ru
0.0000 0.0000 0.0000 Pt
```

Calculated values
- total magnetization (μB per cell) = 1.65
- formation energy from raw total energies (kJ/mol of formula units) = 711


No. 4
PdRuPt2S: relaxed, PBE.

The structure in POSCAR format:
```
PdRuPt2S
1.0
4.4777 0.0000 0.0000
0.0000 4.3025 0.0000
0.0000 0.0000 4.4777
Ru Pt Pd S
1 2 1 1
Direct
0.0000 0.5000 0.0000 Ru
0.5000 0.0000 0.0000 Pt
0.0000 0.0000 0.5000 Pt
0.5000 0.5000 0.5000 Pd
0.0000 0.0000 0.0000 S
```

Calculated values
- total magnetization (μB per cell) = 0.53
- formation energy from raw total energies (kJ/mol of formula units) = 234


No. 5
SnPdRuPt2: relaxed, PBE.

The structure in POSCAR format:
```
SnPdRuPt2
1.0
4.9252 0.0000 0.0000
0.0000 4.5671 0.0000
0.0000 0.0000 4.9252
Pd Pt Sn Ru
1 2 1 1
Direct
0.0000 0.0000 0.0000 Pd
0.5000 0.0000 0.0000 Pt
0.0000 0.0000 0.5000 Pt
0.5000 0.5000 0.5000 Sn
0.0000 0.5000 0.0000 Ru
```

Calculated values
- total magnetization (μB per cell) = 0.00
- formation enthalpy at 0 K (eV/atom) = 1.20


No. 6
TaPdRuPt: relaxed, PBE.

The structure in POSCAR format:
```
TaPdRuPt
1.0
-1.3918 0.2952 -3.5839
1.8345 -3.3080 -0.9849
-3.2844 -2.1484 1.0985
Pt Pd Ta Ru
1 1 1 1
Direct
0.0000 0.0000 0.0000 Pt
0.5000 0.5000 0.0000 Pd
0.5000 0.0000 0.5000 Ta
0.0000 0.5000 0.5000 Ru
```

Calculated values
- total magnetization (μB per cell) = 0.00
- formation enthalpy at 0 K (eV/atom) = -0.49


No. 7
UPdRuPt: relaxed, PBE.

The structure in POSCAR format:
```
UPdRuPt
1.0
-1.0069 0.8305 3.7454
2.1284 -3.0852 1.2562
3.4588 2.5358 0.3676
Pt Ru Pd U
1 1 1 1
Direct
0.0000 0.0000 0.0000 Pt
0.5000 0.0000 0.5000 Ru
0.5000 0.5000 0.0000 Pd
0.0000 0.5000 0.5000 U
```

Calculated values
- total magnetization (μB per cell) = 0.01
- formation enthalpy at 0 K (eV/atom) = -0.58


No. 8
YPdRu2Pt: relaxed, PBE.

The structure in POSCAR format:
```
YPdRu2Pt
1.0
-2.2821 -1.1271 3.9831
-4.1526 -0.7007 -2.5776
1.1537 -4.5413 -0.6241
Ru Pd Pt Y
2 1 1 1
Direct
0.0000 0.0000 0.5000 Ru
0.5000 0.0000 0.0000 Ru
0.0000 0.0000 0.0000 Pd
0.0000 0.5000 0.0000 Pt
0.5000 0.5000 0.5000 Y
```

Calculated values
- total magnetization (μB per cell) = 3.37
- formation enthalpy at 0 K (eV/atom) = 0.93